# TmBrO

TmBrO at its PBEsol-relaxed geometry (meta-GGA SCAN, the Alexandria database).

a = 3.729 Å, b = 4.076 Å, c = 9.119 Å
α = 90.00°, β = 90.00°, γ = 90.00°
Space group Pmmn (No. 59, origin choice 2)
Unique sites:
Tm (0.250, 0.250, 0.111) [2 per cell]
Br (0.250, 0.750, 0.665) [2 per cell]
O (0.250, 0.750, 0.025) [2 per cell]

- total magnetic moment (μB per cell) = 0.00
- DOS at the Fermi energy (states/eV per atom) = 0.000
- formation energy without anion corrections (eV per atom) = -3.213